A relaxed Zr3Si4Rh2 crystal, computed with GGA-PBE.

Properties
Raw formation energy   -924 meV/atom
Symmetry   C2/m (12)
V   149.3 Å³ per cell

Cell and atoms, written as POSCAR:
```
Zr3Si4Rh2
1.0
5.179 -1.983 0.000
5.179 1.983 0.000
-2.673 0.000 7.272
Zr Si Rh
3 4 2
Cartesian
0.000 0.000 0.000 Zr
3.108 0.000 2.194 Zr
4.576 0.000 5.078 Zr
-0.272 0.000 2.959 Si
0.442 0.000 6.768 Si
7.243 0.000 0.503 Si
7.957 0.000 4.313 Si
1.545 0.000 4.679 Rh
6.140 0.000 2.593 Rh
```

A relaxed Cu2Ni8Ge crystal, computed with GGA-PBE.

Properties
Energy relative to the lowest polymorph listed for this composition   1.000 eV/f.u.
Energy of formation from the pure elements   137 meV/atom
Symmetry   C2/m (12)
V   131.8 Å³ per cell

Cell and atoms, written as POSCAR:
```
Cu2Ni8Ge
1.0
3.215 -6.170 0.000
3.215 6.170 0.000
-2.766 0.000 3.323
Cu Ni Ge
2 8 1
Cartesian
3.215 3.888 0.000 Cu
3.215 -3.888 0.000 Cu
-0.466 0.000 0.988 Ni
-0.481 1.715 2.562 Ni
1.832 2.323 1.661 Ni
-0.481 -1.715 2.562 Ni
4.145 1.715 0.761 Ni
1.832 -2.323 1.661 Ni
4.145 -1.715 0.761 Ni
4.130 0.000 2.335 Ni
1.832 0.000 1.661 Ge
```

Number 1: raw total energy -70.35 eV for the cell shown. Number 2: raw total energy -57.56 eV for the cell shown.